Computed, not measured: an optimized crystal structure of Pm2InAs at the PBE level of DFT.

Output
space-group type = P4/mmm
DOS(E_F) = 0.684 states/eV per atom
polymorph energy (0 for the lowest one) = 138 meV per atom
formation enthalpy at 0 K = -784 meV per atom

Cell lengths 3.8681, 3.8681, 7.0102 Å; angles 90.00, 90.00, 90.00 degrees
Closest atoms and distances in Å follow each position.
Element x y z (fractional)
Pm1 0.0000 0.0000 0.2309  4 As 3.18, 1 Pm 3.24, 4 In 3.32
Pm2 0.0000 0.0000 0.7691  4 As 3.18, 1 Pm 3.24, 4 In 3.32
In1 0.5000 0.5000 0.5000  8 Pm 3.32, 2 As 3.51
As1 0.5000 0.5000 0.0000  8 Pm 3.18, 2 In 3.51

---

Computed, not measured: an optimized crystal structure of PmIn2As at the PBE level of DFT.

Output
space-group type = P4/mmm
DOS(E_F) = 0.490 states/eV per atom
formation enthalpy at 0 K = -534 meV per atom

Cell lengths 4.3673, 4.3673, 5.2009 Å; angles 90.00, 90.00, 90.00 degrees
Closest atoms and distances in Å follow each position.
Element x y z (fractional)
Pm1 0.0000 0.0000 0.0000  4 As 3.09, 8 In 3.40
In1 0.0000 0.5000 0.5000  4 In 3.09, 4 Pm 3.40, 4 As 3.40
In2 0.5000 0.0000 0.5000  4 In 3.09, 4 Pm 3.40, 4 As 3.40
As1 0.5000 0.5000 0.0000  4 Pm 3.09, 8 In 3.40

---

Computed, not measured: an optimized crystal structure of PmInAs2 at the PBE level of DFT.

Output
space-group type = Fm-3m
DOS(E_F) = 0.815 states/eV per atom
polymorph energy (0 for the lowest one) = 194 meV per atom
formation enthalpy at 0 K = -423 meV per atom

Cell lengths 5.1295, 5.1295, 5.1295 Å; angles 60.00, 60.00, 60.00 degrees
Closest atoms and distances in Å follow each position.
Element x y z (fractional)
Pm1 0.0000 0.0000 0.0000  8 As 3.14
In1 0.5000 0.5000 0.5000  8 As 3.14
As1 0.2500 0.2500 0.2500  4 In 3.14, 4 Pm 3.14
As2 0.7500 0.7500 0.7500  4 In 3.14, 4 Pm 3.14

---

Computed, not measured: an optimized crystal structure of Pm2InAs at the PBE level of DFT.

Output
space-group type = R-3m
DOS(E_F) = 0.452 states/eV per atom
polymorph energy (0 for the lowest one) = 0 meV per atom
formation enthalpy at 0 K = -922 meV per atom

Cell lengths 8.3548, 8.3548, 8.3548 Å; angles 28.61, 28.61, 28.61 degrees
Closest atoms and distances in Å follow each position.
Element x y z (fractional)
Pm1 0.2379 0.2379 0.2379  3 As 2.93
Pm2 0.7621 0.7621 0.7621  3 As 2.93
In1 0.0000 0.0000 0.0000  6 Pm 3.31
As1 0.5000 0.5000 0.5000  6 Pm 2.93

---

Computed, not measured: an optimized crystal structure of PmInAs2 at the PBE level of DFT.

Output
space-group type = P4/mmm
DOS(E_F) = 0.558 states/eV per atom
polymorph energy (0 for the lowest one) = 7 meV per atom
formation enthalpy at 0 K = -610 meV per atom

Cell lengths 3.9812, 3.9812, 6.3802 Å; angles 90.00, 90.00, 90.00 degrees
Closest atoms and distances in Å follow each position.
Element x y z (fractional)
Pm1 0.0000 0.0000 0.0000  8 As 3.10, 2 In 3.19
In1 0.0000 0.0000 0.5000  2 Pm 3.19, 8 As 3.39
As1 0.5000 0.5000 0.2032  1 As 2.59
As2 0.5000 0.5000 0.7968  1 As 2.59

---

Computed, not measured: an optimized crystal structure of Pm5In3As12 at the PBE level of DFT.

Output
space-group type = Ia-3d
DOS(E_F) = 0.212 states/eV per atom
formation enthalpy at 0 K = -247 meV per atom

Cell lengths 14.7171, 14.7171, 14.7171 Å; angles 109.47, 109.47, 109.47 degrees
Closest atoms and distances in Å follow each position.
Element x y z (fractional)
Pm1 0.0000 0.0000 0.0000  6 As 2.99
Pm2 0.0000 0.0000 0.5000  6 As 2.99
Pm3 0.0000 0.5000 0.0000  6 As 2.99
Pm4 0.0000 0.5000 0.5000  6 As 2.99
Pm5 0.1250 0.7500 0.8750  4 As 2.89
Pm6 0.1250 0.8750 0.2500  4 As 2.89
Pm7 0.2500 0.1250 0.8750  4 As 2.89
Pm8 0.2500 0.6250 0.3750  4 As 2.89
Pm9 0.3750 0.2500 0.6250  4 As 2.89
Pm10 0.3750 0.6250 0.7500  4 As 2.89
Pm11 0.5000 0.0000 0.0000  6 As 2.99
Pm12 0.5000 0.0000 0.5000  6 As 2.99
Pm13 0.5000 0.5000 0.0000  6 As 2.99
Pm14 0.5000 0.5000 0.5000  6 As 2.99
Pm15 0.6250 0.3750 0.2500  4 As 2.89
Pm16 0.6250 0.7500 0.3750  4 As 2.89
Pm17 0.7500 0.3750 0.6250  4 As 2.89
Pm18 0.7500 0.8750 0.1250  4 As 2.89
Pm19 0.8750 0.1250 0.7500  4 As 2.89
Pm20 0.8750 0.2500 0.1250  4 As 2.89
In1 0.1250 0.2500 0.3750  4 As 2.67
In2 0.1250 0.3750 0.7500  4 As 2.67
In3 0.2500 0.3750 0.1250  4 As 2.67
In4 0.2500 0.8750 0.6250  4 As 2.67
In5 0.3750 0.1250 0.2500  4 As 2.67
In6 0.3750 0.7500 0.1250  4 As 2.67
In7 0.6250 0.2500 0.8750  4 As 2.67
In8 0.6250 0.8750 0.7500  4 As 2.67
In9 0.7500 0.1250 0.3750  4 As 2.67
In10 0.7500 0.6250 0.8750  4 As 2.67
In11 0.8750 0.6250 0.2500  4 As 2.67
In12 0.8750 0.7500 0.6250  4 As 2.67
As1 0.0398 0.5966 0.3584  1 As 2.65, 1 In 2.67, 1 Pm 2.89
As2 0.0398 0.9431 0.6814  1 As 2.65, 1 In 2.67, 1 Pm 2.89
As3 0.0569 0.2382 0.0966  1 As 2.65, 1 In 2.67, 1 Pm 2.89
As4 0.0569 0.3186 0.9602  1 As 2.65, 1 In 2.67, 1 Pm 2.89
As5 0.0966 0.0569 0.2382  1 As 2.65, 1 In 2.67, 1 Pm 2.89
As6 0.0966 0.5398 0.8584  1 As 2.65, 1 In 2.67, 1 Pm 2.89
As7 0.1416 0.7382 0.6814  1 As 2.65, 1 In 2.67, 1 Pm 2.89
As8 0.1416 0.9034 0.4602  1 As 2.65, 1 In 2.67, 1 Pm 2.89
As9 0.1814 0.2382 0.6416  1 As 2.65, 1 In 2.67, 1 Pm 2.89
As10 0.1814 0.4431 0.5398  1 As 2.65, 1 In 2.67, 1 Pm 2.89
As11 0.2382 0.0966 0.0569  1 As 2.65, 1 In 2.67, 1 Pm 2.89
As12 0.2382 0.6416 0.1814  1 As 2.65, 1 In 2.67, 1 Pm 2.89
As13 0.2618 0.3186 0.8584  1 As 2.65, 1 In 2.67, 1 Pm 2.89
As14 0.2618 0.4431 0.4034  1 As 2.65, 1 In 2.67, 1 Pm 2.89
As15 0.3186 0.8584 0.2618  1 As 2.65, 1 In 2.67, 1 Pm 2.89
As16 0.3186 0.9602 0.0569  1 As 2.65, 1 In 2.67, 1 Pm 2.89
As17 0.3584 0.0398 0.5966  1 As 2.65, 1 In 2.67, 1 Pm 2.89
As18 0.3584 0.8186 0.7618  1 As 2.65, 1 In 2.67, 1 Pm 2.89
As19 0.4034 0.2618 0.4431  1 As 2.65, 1 In 2.67, 1 Pm 2.89
As20 0.4034 0.6416 0.9602  1 As 2.65, 1 In 2.67, 1 Pm 2.89
As21 0.4431 0.4034 0.2618  1 As 2.65, 1 In 2.67, 1 Pm 2.89
As22 0.4431 0.5398 0.1814  1 As 2.65, 1 In 2.67, 1 Pm 2.89
As23 0.4602 0.1416 0.9034  1 As 2.65, 1 In 2.67, 1 Pm 2.89
As24 0.4602 0.8186 0.5569  1 As 2.65, 1 In 2.67, 1 Pm 2.89
As25 0.5398 0.1814 0.4431  1 As 2.65, 1 In 2.67, 1 Pm 2.89
As26 0.5398 0.8584 0.0966  1 As 2.65, 1 In 2.67, 1 Pm 2.89
As27 0.5569 0.4602 0.8186  1 As 2.65, 1 In 2.67, 1 Pm 2.89
As28 0.5569 0.5966 0.7382  1 As 2.65, 1 In 2.67, 1 Pm 2.89
As29 0.5966 0.3584 0.0398  1 As 2.65, 1 In 2.67, 1 Pm 2.89
As30 0.5966 0.7382 0.5569  1 As 2.65, 1 In 2.67, 1 Pm 2.89
As31 0.6416 0.1814 0.2382  1 As 2.65, 1 In 2.67, 1 Pm 2.89
As32 0.6416 0.9602 0.4034  1 As 2.65, 1 In 2.67, 1 Pm 2.89
As33 0.6814 0.0398 0.9431  1 As 2.65, 1 In 2.67, 1 Pm 2.89
As34 0.6814 0.1416 0.7382  1 As 2.65, 1 In 2.67, 1 Pm 2.89
As35 0.7382 0.5569 0.5966  1 As 2.65, 1 In 2.67, 1 Pm 2.89
As36 0.7382 0.6814 0.1416  1 As 2.65, 1 In 2.67, 1 Pm 2.89
As37 0.7618 0.3584 0.8186  1 As 2.65, 1 In 2.67, 1 Pm 2.89
As38 0.7618 0.9034 0.9431  1 As 2.65, 1 In 2.67, 1 Pm 2.89
As39 0.8186 0.5569 0.4602  1 As 2.65, 1 In 2.67, 1 Pm 2.89
As40 0.8186 0.7618 0.3584  1 As 2.65, 1 In 2.67, 1 Pm 2.89
As41 0.8584 0.0966 0.5398  1 As 2.65, 1 In 2.67, 1 Pm 2.89
As42 0.8584 0.2618 0.3186  1 As 2.65, 1 In 2.67, 1 Pm 2.89
As43 0.9034 0.4602 0.1416  1 As 2.65, 1 In 2.67, 1 Pm 2.89
As44 0.9034 0.9431 0.7618  1 As 2.65, 1 In 2.67, 1 Pm 2.89
As45 0.9431 0.6814 0.0398  1 As 2.65, 1 In 2.67, 1 Pm 2.89
As46 0.9431 0.7618 0.9034  1 As 2.65, 1 In 2.67, 1 Pm 2.89
As47 0.9602 0.0569 0.3186  1 As 2.65, 1 In 2.67, 1 Pm 2.89
As48 0.9602 0.4034 0.6416  1 As 2.65, 1 In 2.67, 1 Pm 2.89

---

Computed, not measured: an optimized crystal structure of PmInAs2 at the PBE level of DFT.

Output
space-group type = P4/mmm
DOS(E_F) = 0.345 states/eV per atom
polymorph energy (0 for the lowest one) = 0 meV per atom
formation enthalpy at 0 K = -617 meV per atom

Cell lengths 4.8485, 4.8485, 3.8964 Å; angles 90.00, 90.00, 90.00 degrees
Closest atoms and distances in Å follow each position.
Element x y z (fractional)
Pm1 0.0000 0.0000 0.0000  8 As 3.11, 4 In 3.43
In1 0.5000 0.5000 0.0000  8 As 3.11, 4 Pm 3.43
As1 0.0000 0.5000 0.5000  4 In 3.11, 4 Pm 3.11, 4 As 3.43
As2 0.5000 0.0000 0.5000  4 In 3.11, 4 Pm 3.11, 4 As 3.43

---

Computed, not measured: an optimized crystal structure of PmInAs2 at the PBE level of DFT.

Output
space-group type = R-3m
DOS(E_F) = 0.042 states/eV per atom
polymorph energy (0 for the lowest one) = 221 meV per atom
formation enthalpy at 0 K = -396 meV per atom

Cell lengths 8.1405, 8.1405, 8.1405 Å; angles 33.12, 33.12, 33.12 degrees
Closest atoms and distances in Å follow each position.
Element x y z (fractional)
Pm1 0.0000 0.0000 0.0000  6 As 3.01
In1 0.5000 0.5000 0.5000  2 As 2.47
As1 0.3928 0.3928 0.3928  1 In 2.47
As2 0.6072 0.6072 0.6072  1 In 2.47